[1]
An optimized crystal structure of Re2SiPb, computed with PBE.

As for the crystal system: trigonal. The calculation puts the magnetization at 0.000 μB/atom. As for the energy above the most stable polymorph in this dataset: 1.03 eV/f.u. For the volume, the calculation gives 205.5 Å³/cell. The final energy is -7.899 eV/atom.

It has space group R-3m (No. 166, hexagonal axes), with a = 2.9396 Å, b = 2.9396 Å, c = 27.4586 Å, α = 90.00°, β = 90.00° and γ = 120.00°. The asymmetric unit holds Re at (0.0000, 0.0000, 0.2354), Si at (0.0000, 0.0000, 0.5000) and Pb at (0.0000, 0.0000, 0.0000).

[2]
An optimized crystal structure of HoErSb, computed with PBE.

As for the crystal system: tetragonal. The calculation puts the magnetization at 0.326 μB/atom. For the volume, the calculation gives 164.6 Å³/cell. The final energy is -5.036 eV/atom.

It has space group I4mm (No. 107), with a = 3.9396 Å, b = 3.9396 Å, c = 10.6042 Å, α = 90.00°, β = 90.00° and γ = 90.00°. The asymmetric unit holds Ho at (0.0000, 0.0000, 0.0000), Er at (0.0000, 0.0000, 0.3093) and Sb at (0.0000, 0.0000, 0.6558).

[3]
An optimized crystal structure of CeBe4Pt8, computed with PBE.

The formation energy is -0.678 eV/atom. As for the crystal system: tetragonal. The calculation puts the magnetization at 0.000 μB/atom. For the volume, the calculation gives 375.1 Å³/cell. The final energy is -5.998 eV/atom.

It has space group I4/mmm (No. 139), with a = 8.4876 Å, b = 8.4876 Å, c = 5.2064 Å, α = 90.00°, β = 90.00° and γ = 90.00°. The asymmetric unit holds Ce at (0.0000, 0.0000, 0.0000), Be at (0.2500, 0.2500, 0.2500), Pt at (0.0000, 0.2274, 0.5000) and Pt at (0.0000, 0.3303, 0.0000).